Record 1
# SrB2Ir2

An optimized crystal structure of SrB2Ir2 (PBEsol, Alexandria via LeMat-Bulk).

Properties
Formation enthalpy at 0 K = -0.617 eV/atom
Magnetic moment = 0.00 μB per formula unit
Space group = Fddd, No. 70

a = 5.5700 Å, b = 5.5700 Å, c = 6.1440 Å
α = 105.44°, β = 105.44°, γ = 114.36°
With the nearest neighbours (Å) after each atom.
Sites, in units of the cell vectors:
Sr (0.5000, 0.5000, 0.0000)  6 B 3.04-3.15, 8 Ir 3.07-3.33
Sr (0.7500, 0.2500, 0.5000)  6 B 3.04-3.15, 8 Ir 3.07-3.33
B (0.8251, 0.1749, 0.0000)  4 Ir 2.10-2.15
B (0.0751, 0.9249, 0.5000)  4 Ir 2.10-2.15
B (0.1749, 0.8251, 0.0000)  4 Ir 2.10-2.15
B (0.4249, 0.5751, 0.5000)  4 Ir 2.10-2.15
Ir (0.1303, 0.1303, 0.2606)  4 B 2.10-2.15
Ir (0.3803, 0.8803, 0.7606)  4 B 2.10-2.15
Ir (0.1197, 0.6197, 0.2394)  4 B 2.10-2.15
Ir (0.8697, 0.8697, 0.7394)  4 B 2.10-2.15

***

Record 2
# V2CoO6

An optimized crystal structure of V2CoO6 (PBEsol, Alexandria via LeMat-Bulk).

Properties
Magnetic moment = 3.00 μB per formula unit
Space group = C2/c, No. 15
E_form (uncorrected) = -1.944 eV per atom

a = 5.7165 Å, b = 6.5895 Å, c = 6.5895 Å
α = 83.81°, β = 74.59°, γ = 74.59°
With the nearest neighbours (Å) after each atom.
Sites, in units of the cell vectors:
V (0.7454, 0.2029, 0.3892)  4 O 1.66-1.76
V (0.2454, 0.3892, 0.2029)  4 O 1.66-1.76
V (0.7546, 0.6108, 0.7971)  4 O 1.66-1.76
V (0.2546, 0.7971, 0.6108)  4 O 1.66-1.76
Co (0.2500, 0.9178, 0.0822)  6 O 1.94-2.09
Co (0.7500, 0.0822, 0.9178)  6 O 1.94-2.09
O (0.8633, 0.0306, 0.1897)  1 V 1.71
O (0.3633, 0.1897, 0.0306)  1 V 1.71
O (0.6367, 0.8103, 0.9694)  1 V 1.71
O (0.1367, 0.9694, 0.8103)  1 V 1.71
O (0.7332, 0.0866, 0.6276)  1 V 1.66
O (0.7668, 0.3724, 0.9134)  1 V 1.66
O (0.2332, 0.6276, 0.0866)  1 V 1.66
O (0.2668, 0.9134, 0.3724)  1 V 1.66
O (0.9409, 0.3784, 0.3440)  2 V 1.76
O (0.4409, 0.3440, 0.3784)  2 V 1.76
O (0.5591, 0.6560, 0.6216)  2 V 1.76
O (0.0591, 0.6216, 0.6560)  2 V 1.76